Compound: PmZrS
Source: the Alexandria database
Functional: GGA-PBE
Structure: optimized geometry

* energy relative to the elements, uncorrected: -896 meV/atom

```
data_PmZrS
_cell_length_a 9.918
_cell_length_b 9.918
_cell_length_c 7.552
_cell_angle_alpha 103.62
_cell_angle_beta 103.62
_cell_angle_gamma 25.62
_space_group_name_H-M_alt 'P 1'
_space_group_IT_number 1
_space_group_name_Hall 'P 1'
loop_
_atom_site_label
_atom_site_type_symbol
_atom_site_fract_x
_atom_site_fract_y
_atom_site_fract_z
Pm1 Pm 0.068 0.068 0.268
Pm2 Pm 0.404 0.404 0.231
Pm3 Pm 0.596 0.596 0.769
Pm4 Pm 0.932 0.932 0.732
Zr1 Zr 0.254 0.254 0.379
Zr2 Zr 0.261 0.261 0.880
Zr3 Zr 0.739 0.739 0.120
Zr4 Zr 0.746 0.746 0.621
S1 S 0.156 0.156 0.038
S2 S 0.161 0.161 0.592
S3 S 0.839 0.839 0.408
S4 S 0.844 0.844 0.962
```